# 1
Below is a relaxed Er5Tl3Hg crystal, with properties calculated at the GGA-PBE level.

abc: 9.1643 9.1643 6.7431
angles: 90.00 90.00 120.00
Closest atoms and distances in Å follow each position.
Fractional coordinates of all 18 atoms:
Er1 0.0000 0.2816 0.2500  2 Hg 3.08, 3 Tl 3.11-3.13
Er2 0.0000 0.7184 0.7500  2 Hg 3.08, 3 Tl 3.11-3.13
Er3 0.2816 0.0000 0.2500  2 Hg 3.08, 3 Tl 3.11-3.13
Er4 0.2816 0.2816 0.7500  2 Hg 3.08, 3 Tl 3.11-3.13
Er5 0.3333 0.6667 0.0000  6 Tl 3.33, 8 Er 3.37-3.72
Er6 0.3333 0.6667 0.5000  6 Tl 3.33, 8 Er 3.37-3.72
Er7 0.6667 0.3333 0.0000  6 Tl 3.33, 8 Er 3.37-3.72
Er8 0.6667 0.3333 0.5000  6 Tl 3.33, 8 Er 3.37-3.72
Er9 0.7184 0.0000 0.7500  2 Hg 3.08, 3 Tl 3.11-3.13
Er10 0.7184 0.7184 0.2500  2 Hg 3.08, 3 Tl 3.11-3.13
Tl1 0.0000 0.3792 0.7500  7 Er 3.11-3.33
Tl2 0.0000 0.6208 0.2500  7 Er 3.11-3.33
Tl3 0.3792 0.0000 0.7500  7 Er 3.11-3.33
Tl4 0.3792 0.3792 0.2500  7 Er 3.11-3.33
Tl5 0.6208 0.0000 0.2500  7 Er 3.11-3.33
Tl6 0.6208 0.6208 0.7500  7 Er 3.11-3.33
Hg1 0.0000 0.0000 0.0000  6 Er 3.08, 2 Hg 3.37
Hg2 0.0000 0.0000 0.5000  6 Er 3.08, 2 Hg 3.37

Properties
Total moment: 0.00 μB/cell
Density of states at the Fermi level: 10.267 states/eV per cell
E_tot: -3.719 eV per atom
E_form: -3.3 eV per formula unit


# 2
Below is a relaxed Pm4Ir2I crystal, with properties calculated at the GGA-PBE level.

abc: 14.4947 14.4947 14.4947
angles: 16.73 16.73 16.73
Closest atoms and distances in Å follow each position.
Fractional coordinates of all 7 atoms:
Pm1 0.1270 0.1270 0.1270  3 Ir 2.82
Pm2 0.2739 0.2739 0.2739  3 Ir 2.85
Pm3 0.7261 0.7261 0.7261  3 Ir 2.85
Pm4 0.8730 0.8730 0.8730  3 Ir 2.82
Ir1 0.4272 0.4272 0.4272  6 Pm 2.82-2.85
Ir2 0.5728 0.5728 0.5728  6 Pm 2.82-2.85
I1 0.0000 0.0000 0.0000  6 Pm 3.52

Properties
Total moment: 0.00 μB/cell
Density of states at the Fermi level: 4.214 states/eV per cell
Energy above the most stable polymorph in this dataset: 0 meV per atom
E_tot: -6.228 eV per atom
Raw formation energy: -0.760 eV/atom


# 3
Below is a relaxed ZrV2Cl6 crystal, with properties calculated at the GGA-PBE level.

abc: 8.6007 8.6007 5.8968
angles: 103.06 103.06 92.96
Closest atoms and distances in Å follow each position.
Fractional coordinates of all 18 atoms:
Zr1 0.0558 0.9442 0.7500  6 Cl 2.59-2.62
Zr2 0.9442 0.0558 0.2500  6 Cl 2.59-2.62
V1 0.2801 0.4747 0.8522  5 Cl 2.40-2.50
V2 0.4747 0.2801 0.3522  5 Cl 2.40-2.50
V3 0.5253 0.7199 0.6478  5 Cl 2.40-2.50
V4 0.7199 0.5253 0.1478  5 Cl 2.40-2.50
Cl1 0.0818 0.2305 0.6814  1 V 2.50, 2 Zr 2.59-2.62
Cl2 0.0857 0.6653 0.8537  1 V 2.40, 1 Zr 2.62
Cl3 0.2305 0.0818 0.1814  1 V 2.50, 2 Zr 2.59-2.62
Cl4 0.3069 0.4971 0.4490  3 V 2.46-2.49
Cl5 0.3347 0.9143 0.6463  1 V 2.40, 1 Zr 2.62
Cl6 0.4971 0.3069 0.9490  3 V 2.46-2.49
Cl7 0.5029 0.6931 0.0510  3 V 2.46-2.49
Cl8 0.6653 0.0857 0.3537  1 V 2.40, 1 Zr 2.62
Cl9 0.6931 0.5029 0.5510  3 V 2.46-2.49
Cl10 0.7695 0.9182 0.8186  1 V 2.50, 2 Zr 2.59-2.62
Cl11 0.9143 0.3347 0.1463  1 V 2.40, 1 Zr 2.62
Cl12 0.9182 0.7695 0.3186  1 V 2.50, 2 Zr 2.59-2.62

Properties
Total moment: 12.49 μB/cell
Density of states at the Fermi level: 5.709 states/eV per cell
E_tot: -5.295 eV per atom
Raw formation energy: -1.087 eV/atom